(1)
PBE-GGA Li2Mg2Ge, relaxed; magnetization = 0.00 μB/f.u.; N(E_F) = 1.52 states/eV/f.u.; raw total energy = -2.424 eV per atom; formation enthalpy at 0 K = -98 meV per atom; E above lowest polymorph = 0 meV per atom
1.0
6.470 0.000 0.000
0.000 6.470 0.000
0.000 0.000 4.395
Li Mg Ge
4 4 2
direct
0.139 0.361 0.000
0.361 0.861 0.000
0.639 0.139 0.000
0.861 0.639 0.000
0.177 0.677 0.500
0.323 0.177 0.500
0.677 0.823 0.500
0.823 0.323 0.500
0.000 0.000 0.000
0.500 0.500 0.000

=====

(2)
PBE-GGA LiMgGe2, relaxed; magnetization = 0.00 μB/f.u.; N(E_F) = 0.53 states/eV/f.u.; raw total energy = -3.379 eV per atom; formation enthalpy at 0 K = -193 meV per atom
1.0
4.236 0.000 0.000
0.000 4.236 0.000
0.000 0.000 3.948
Li Mg Ge
1 1 2
direct
0.000 0.000 0.000
0.500 0.500 0.000
0.000 0.500 0.500
0.500 0.000 0.500

=====

(3)
PBE-GGA Li2MgGe2, relaxed; magnetization = 0.00 μB/f.u.; N(E_F) = 1.69 states/eV/f.u.; raw total energy = -3.122 eV per atom; formation enthalpy at 0 K = -191 meV per atom; E above lowest polymorph = 35 meV per atom
1.0
7.694 0.000 0.000
0.000 7.694 0.000
0.000 0.000 2.879
Li Mg Ge
4 2 4
direct
0.114 0.386 0.000
0.386 0.886 0.000
0.614 0.114 0.000
0.886 0.614 0.000
0.000 0.000 0.000
0.500 0.500 0.000
0.184 0.684 0.500
0.316 0.184 0.500
0.684 0.816 0.500
0.816 0.316 0.500

=====

(4)
PBE-GGA Li2Mg2Ge, relaxed; magnetization = 0.00 μB/f.u.; N(E_F) = 2.07 states/eV/f.u.; raw total energy = -2.259 eV per atom; formation enthalpy at 0 K = 68 meV per atom; E above lowest polymorph = 165 meV per atom
1.0
-1.768 1.768 8.154
1.768 -1.768 8.154
1.768 1.768 -8.154
Li Mg Ge
2 2 1
direct
0.250 0.750 0.500
0.750 0.250 0.500
0.099 0.099 0.000
0.901 0.901 0.000
0.500 0.500 0.000

=====

(5)
PBE-GGA LiMgGe, relaxed; magnetization = 0.00 μB/f.u.; N(E_F) = 0.87 states/eV/f.u.; raw total energy = -2.943 eV per atom; formation enthalpy at 0 K = -235 meV per atom
1.0
-1.646 2.016 4.063
1.646 -2.016 4.063
1.646 2.016 -4.063
Li Mg Ge
1 1 1
direct
0.000 0.000 0.000
0.674 0.674 0.000
0.333 0.333 0.000

=====

(6)
PBE-GGA LiMgGe, relaxed; magnetization = 0.00 μB/f.u.; N(E_F) = 1.03 states/eV/f.u.; raw total energy = -2.974 eV per atom; formation enthalpy at 0 K = -266 meV per atom
1.0
2.191 -4.491 0.000
2.191 4.491 0.000
0.000 0.000 5.605
Li Mg Ge
2 2 2
direct
0.000 0.000 0.000
0.000 0.000 0.500
0.290 0.710 0.750
0.710 0.290 0.250
0.402 0.598 0.250
0.598 0.402 0.750

=====

(7)
PBE-GGA Li2MgGe2, relaxed; magnetization = 0.00 μB/f.u.; N(E_F) = 1.74 states/eV/f.u.; raw total energy = -3.132 eV per atom; formation enthalpy at 0 K = -201 meV per atom; E above lowest polymorph = 25 meV per atom
1.0
-1.944 1.944 5.960
1.944 -1.944 5.960
1.944 1.944 -5.960
Li Mg Ge
2 1 2
direct
0.250 0.750 0.500
0.750 0.250 0.500
0.000 0.000 0.000
0.399 0.399 0.000
0.601 0.601 0.000

=====

(8)
PBE-GGA LiMgGe2, relaxed; magnetization = 0.00 μB/f.u.; N(E_F) = 0.97 states/eV/f.u.; raw total energy = -3.345 eV per atom; formation enthalpy at 0 K = -159 meV per atom
1.0
3.332 0.000 0.000
0.000 3.332 0.000
0.000 0.000 6.418
Li Mg Ge
1 1 2
direct
0.000 0.000 0.000
0.000 0.000 0.500
0.500 0.500 0.228
0.500 0.500 0.772

=====

(9)
PBE-GGA LiMgGe, relaxed; magnetization = 0.00 μB/f.u.; N(E_F) = 1.14 states/eV/f.u.; raw total energy = -2.772 eV per atom; formation enthalpy at 0 K = -64 meV per atom
1.0
6.644 0.000 0.000
0.000 6.644 0.000
0.000 0.000 6.479
Li Mg Ge
4 4 4
direct
0.225 0.225 0.000
0.275 0.725 0.250
0.725 0.275 0.750
0.775 0.775 0.500
0.225 0.225 0.500
0.275 0.725 0.750
0.725 0.275 0.250
0.775 0.775 0.000
0.002 0.998 0.250
0.498 0.498 0.000
0.502 0.502 0.500
0.998 0.002 0.750

=====

(10)
PBE-GGA Li4MgGe, relaxed; magnetization = 0.00 μB/f.u.; N(E_F) = 2.59 states/eV/f.u.; raw total energy = -2.529 eV per atom; formation enthalpy at 0 K = -218 meV per atom; E above lowest polymorph = 35 meV per atom
1.0
2.241 -6.653 0.000
2.241 6.653 0.000
0.000 0.000 6.796
Li Mg Ge
8 2 2
direct
0.033 0.967 0.750
0.166 0.834 0.019
0.166 0.834 0.481
0.305 0.695 0.750
0.695 0.305 0.250
0.834 0.166 0.519
0.834 0.166 0.981
0.967 0.033 0.250
0.500 0.500 0.000
0.500 0.500 0.500
0.332 0.668 0.250
0.668 0.332 0.750

=====

(11)
PBE-GGA Li4MgGe, relaxed; magnetization = 0.00 μB/f.u.; N(E_F) = 0.68 states/eV/f.u.; raw total energy = -2.564 eV per atom; formation enthalpy at 0 K = -252 meV per atom; E above lowest polymorph = 0 meV per atom
1.0
2.256 -3.908 0.000
2.256 3.908 0.000
-0.001 0.000 5.622
Li Mg Ge
4 1 1
direct
0.167 0.833 0.000
0.167 0.833 0.438
0.833 0.167 0.000
0.833 0.167 0.438
0.501 0.501 0.719
0.500 0.500 0.219

=====

(12)
PBE-GGA LiMg8Ge4, relaxed; magnetization = 0.00 μB/f.u.; N(E_F) = 3.68 states/eV/f.u.; raw total energy = -2.786 eV per atom; formation enthalpy at 0 K = -237 meV per atom
1.0
6.482 0.000 0.000
0.000 6.482 0.000
0.000 0.000 6.482
Li Mg Ge
1 8 4
direct
0.000 0.000 0.000
0.255 0.255 0.255
0.255 0.255 0.745
0.255 0.745 0.255
0.255 0.745 0.745
0.745 0.255 0.255
0.745 0.255 0.745
0.745 0.745 0.255
0.745 0.745 0.745
0.000 0.000 0.500
0.000 0.500 0.000
0.500 0.000 0.000
0.500 0.500 0.500